# V2Zn2I GGA-PBE optimized geometry
# - distance to the lowest polymorph of the same formula (meV per atom) = 118
# - D(E_F) (states/eV/f.u.) = 5.21
# - calculated total energy (eV per atom) = -3.91
# - spin magnetization (μB/cell) = 2.42
# - E_form (uncorrected) (eV/atom) = 0.55
data_V2Zn2I
_chemical_formula_sum 'V4 Zn4 I2'
_cell_length_a 3.5762
_cell_length_b 3.5762
_cell_length_c 13.4608
_cell_angle_alpha 90.00
_cell_angle_beta 90.00
_cell_angle_gamma 90.00
_space_group_name_H-M_alt 'I 4/m m m'
_space_group_IT_number 139
_space_group_name_Hall '-I 4 2'
loop_
_atom_site_label
_atom_site_type_symbol
_atom_site_fract_x
_atom_site_fract_y
_atom_site_fract_z
V1 V 0.0000 0.0000 0.0935
Zn1 Zn 0.0000 0.5000 0.2500
I1 I 0.0000 0.0000 0.5000

=====

# V3ZnI GGA-PBE optimized geometry
# - distance to the lowest polymorph of the same formula (meV per atom) = 350
# - D(E_F) (states/eV/f.u.) = 8.16
# - calculated total energy (eV per atom) = -4.46
# - spin magnetization (μB/cell) = 6.01
# - E_form (uncorrected) (eV/atom) = 1.58
data_V3ZnI
_chemical_formula_sum 'V3 Zn1 I1'
_cell_length_a 4.8535
_cell_length_b 4.8535
_cell_length_c 4.8535
_cell_angle_alpha 90.00
_cell_angle_beta 90.00
_cell_angle_gamma 90.00
_space_group_name_H-M_alt 'P m -3 m'
_space_group_IT_number 221
_space_group_name_Hall '-P 4 2 3'
loop_
_atom_site_label
_atom_site_type_symbol
_atom_site_fract_x
_atom_site_fract_y
_atom_site_fract_z
V1 V 0.0000 0.0000 0.5000
Zn1 Zn 0.5000 0.5000 0.5000
I1 I 0.0000 0.0000 0.0000

=====

# VZn2I8 GGA-PBE optimized geometry
# - D(E_F) (states/eV/f.u.) = 7.72
# - calculated total energy (eV per atom) = -2.61
# - spin magnetization (μB/cell) = 1.87
# - E_form (uncorrected) (eV/atom) = -0.42
data_VZn2I8
_chemical_formula_sum 'V2 Zn4 I16'
_cell_length_a 15.3091
_cell_length_b 8.6470
_cell_length_c 6.7805
_cell_angle_alpha 90.00
_cell_angle_beta 92.30
_cell_angle_gamma 90.00
_space_group_name_H-M_alt 'C 1 2/m 1'
_space_group_IT_number 12
loop_
_space_group_symop_operation_xyz
'x,y,z'
'-x,-y,-z'
'-x,y,-z'
'x,-y,z'
'x+1/2,y+1/2,z'
'-x+1/2,-y+1/2,-z'
'-x+1/2,y+1/2,-z'
'x+1/2,-y+1/2,z'
loop_
_atom_site_label
_atom_site_type_symbol
_atom_site_fract_x
_atom_site_fract_y
_atom_site_fract_z
V1 V 0.0000 0.0000 0.0000
Zn1 Zn 0.1630 0.0000 0.6074
I1 I 0.0659 0.2247 0.7619
I2 I 0.1571 0.0000 0.2138
I3 I 0.1759 0.5000 0.2877